LiSbAu2: relaxed, PBE.

## Properties
Its size of the total moment is 0.0000 μB per atom.

a b c (Å): 3.715 3.047 7.097
angles (deg): 89.94 90.00 90.00
Atoms (fractional coordinates):
Sb1 0.500 0.750 0.750
Li1 0.500 0.250 0.250
Au1 0.000 0.750 0.055
Au2 0.000 0.750 0.445

---

NiSbW2: relaxed, PBE.

## Properties
Its size of the total moment is 0.0004 μB per atom.

a b c (Å): 4.497 4.497 4.497
angles (deg): 60.00 60.00 60.00
Atoms (fractional coordinates):
W1 0.000 0.000 0.000
W2 0.250 0.250 0.250
Ni1 0.500 0.500 0.500
Sb1 0.750 0.750 0.750

---

GaSi3P: relaxed, PBE.

## Properties
Its size of the total moment is 0.0000 μB per atom.

a b c (Å): 4.715 4.715 4.715
angles (deg): 90.00 90.00 90.00
Atoms (fractional coordinates):
Ga1 0.000 0.000 0.000
P1 0.500 0.500 0.500
Si1 0.000 0.500 0.000
Si2 0.000 0.000 0.500
Si3 0.500 0.000 0.000

---

no.,electronic total energy (Ry/atom)
1,-0.252
2,-0.620
3,-0.278